Record 1
A relaxed structure of Ir3RhW, computed with PBE.

a = 4.615 Å, b = 4.615 Å, c = 4.615 Å
α = 90.00°, β = 90.00°, γ = 90.00°
Positions (direct):
1 Ir 0.000 0.000 0.500
2 Ir 0.000 0.500 0.000
3 Ir 0.500 0.000 0.000
4 Rh 0.000 0.000 0.000
5 W 0.500 0.500 0.500

## Properties
* volume: 19.7 A^3/atom
* SG: No. 221
* offset from the most stable computed form: 2517.7 meV/atom
* ΔE_f: 11.80 eV/f.u.



Record 2
A relaxed structure of TbNdSmEr, computed with PBE.

a = 6.218 Å, b = 6.218 Å, c = 6.218 Å
α = 131.69°, β = 131.69°, γ = 70.72°
Positions (direct):
1 Tb 0.000 0.000 0.000
2 Nd 0.250 0.750 0.500
3 Sm 0.500 0.500 0.000
4 Er 0.750 0.250 0.500

## Properties
* volume: 32.8 A^3/atom
* SG: No. 119
* offset from the most stable computed form: 0.0 meV/atom
* ΔE_f: 0.07 eV/f.u.



Record 3
A relaxed structure of Y2ZrRu, computed with PBE.

a = 5.066 Å, b = 5.066 Å, c = 3.563 Å
α = 90.00°, β = 90.00°, γ = 90.13°
Positions (direct):
1 Y 0.000 0.500 0.000
2 Y 0.500 0.000 0.000
3 Zr 0.000 0.000 0.500
4 Ru 0.500 0.500 0.500

## Properties
* volume: 22.9 A^3/atom
* SG: No. 65
* offset from the most stable computed form: 353.1 meV/atom
* ΔE_f: 0.45 eV/f.u.



Record 4
A relaxed structure of SrTaTl2Ga, computed with PBE.

a = 6.003 Å, b = 6.003 Å, c = 5.397 Å
α = 90.00°, β = 90.00°, γ = 90.00°
Positions (direct):
1 Sr 0.000 0.000 0.000
2 Ta 0.000 0.000 0.500
3 Tl 0.000 0.500 0.000
4 Tl 0.500 0.000 0.000
5 Ga 0.500 0.500 0.500

## Properties
* volume: 38.9 A^3/atom
* SG: No. 123
* ΔE_f: 8.51 eV/f.u.